# 1
A crystal of Si2NO relaxed with PBEsol, computed with SCAN.

```
Si2NO
1.0
3.8424 0.0000 0.0000
0.0000 3.8424 0.0000
-1.9212 -1.9212 5.6477
Si O N
4 2 2
direct
0.3822 0.8750 0.2500 Si
0.8678 0.3750 0.2500 Si
0.1250 0.1322 0.7500 Si
0.6250 0.6178 0.7500 Si
0.2500 0.7500 0.5000 O
0.0000 0.0000 0.0000 O
0.7500 0.2500 0.5000 N
0.5000 0.5000 0.0000 N
```

Values from the calculation:
V	83.4	Å³/cell
total magnetic moment	0.00	μB per atom
calculated density	3.4	g/cm3
formation energy without anion corrections	-0.49	eV per formula unit

=====

# 2
A crystal of BRuBr3 relaxed with PBEsol, computed with SCAN.

```
BRuBr3
1.0
-3.8380 -2.0050 1.5050
2.3589 -3.8200 0.9264
0.8489 1.5501 4.2299
Ru B Br
1 1 3
direct
0.5000 0.5000 0.5000 Ru
0.0000 0.0000 0.0000 B
0.0000 0.5000 0.0000 Br
0.0000 0.0000 0.5000 Br
0.5000 0.0000 0.0000 Br
```

Values from the calculation:
V	96.3	Å³/cell
total magnetic moment	0.62	μB per atom
calculated density	6.1	g/cm3
formation energy without anion corrections	5.51	eV per formula unit

=====

# 3
A crystal of NbRu3Br relaxed with PBEsol, computed with SCAN.

```
NbRu3Br
1.0
-0.5135 0.8504 4.6331
-0.6835 -4.6247 0.7731
4.6606 -0.5845 0.6238
Ru Nb Br
3 1 1
direct
0.0000 0.5000 0.0000 Ru
0.0000 0.0000 0.5000 Ru
0.5000 0.0000 0.0000 Ru
0.0000 0.0000 0.0000 Nb
0.5000 0.5000 0.5000 Br
```

Values from the calculation:
V	106.4	Å³/cell
total magnetic moment	0.81	μB per atom
calculated density	7.4	g/cm3
formation energy without anion corrections	8.82	eV per formula unit

=====

# 4
A crystal of Li2LaIr relaxed with PBEsol, computed with SCAN.

```
Li2LaIr
1.0
-2.5118 -0.6384 -3.4831
-2.9887 -3.1490 0.0267
-5.0169 1.7736 0.5870
Ir La Li
1 1 2
direct
0.5408 0.5408 0.3775 Ir
0.7588 0.7588 0.7235 La
0.9561 0.9561 0.1317 Li
0.2436 0.2436 0.2692 Li
```

Values from the calculation:
E above lowest polymorph	0.058	eV/atom
formation enthalpy at 0 K	-0.342	eV per atom
V	77.2	Å³/cell
total magnetic moment	0.00	μB per atom
calculated density	7.4	g/cm3

=====

# 5
A crystal of YSc2Ni2 relaxed with PBEsol, computed with SCAN.

```
YSc2Ni2
1.0
-1.9617 -2.7671 -1.0702
5.9640 -3.9520 -0.7135
-0.6340 -2.1880 6.8196
Y Ni Sc
2 4 4
direct
0.0000 0.0000 0.0000 Y
0.0000 0.5000 0.5000 Y
0.0000 0.3740 0.8740 Ni
0.0000 0.8740 0.6260 Ni
0.0000 0.6260 0.1260 Ni
0.0000 0.1260 0.3740 Ni
0.5000 0.1564 0.6564 Sc
0.5000 0.6564 0.8436 Sc
0.5000 0.8436 0.3436 Sc
0.5000 0.3436 0.1564 Sc
```

Values from the calculation:
E above lowest polymorph	0.003	eV/atom
formation enthalpy at 0 K	-0.330	eV per atom
V	183.9	Å³/cell
total magnetic moment	0.00	μB per atom
calculated density	5.3	g/cm3

=====

# 6
A crystal of Mg2TiO4 relaxed with PBEsol, computed with SCAN.

```
Mg2TiO4
1.0
5.9855 0.0021 0.0015
-0.0102 10.3152 0.0994
-0.0097 -0.2408 14.6217
Mg Ti O
24 12 48
direct
0.0003 0.4159 0.5833 Mg
0.9995 0.7503 0.2503 Mg
0.9993 0.2507 0.2503 Mg
0.2507 0.8338 0.9163 Mg
0.2485 0.1662 0.5834 Mg
0.2492 0.5001 0.2502 Mg
0.2442 0.3335 0.7926 Mg
0.2497 0.6655 0.4586 Mg
0.2483 0.9999 0.1259 Mg
0.2541 0.6668 0.7079 Mg
0.2513 0.0008 0.3741 Mg
0.2592 0.3333 0.0406 Mg
0.5001 0.0841 0.9160 Mg
0.7412 0.8351 0.7912 Mg
0.7566 0.1653 0.7085 Mg
0.7474 0.1670 0.4579 Mg
0.7479 0.4996 0.3757 Mg
0.7468 0.5005 0.1245 Mg
0.7534 0.8330 0.0423 Mg
0.7524 0.4996 0.7503 Mg
0.7489 0.1672 0.0832 Mg
0.7503 0.8333 0.4164 Mg
0.0023 0.5816 0.9163 Mg
0.9984 0.9173 0.5839 Mg
0.0002 0.0794 0.9208 Ti
0.2520 0.0008 0.7493 Ti
0.2378 0.3333 0.4168 Ti
0.2361 0.6660 0.0839 Ti
0.5026 0.5905 0.9140 Ti
0.4980 0.9175 0.5779 Ti
0.5002 0.4118 0.5879 Ti
0.4994 0.2544 0.2458 Ti
0.4996 0.7462 0.2540 Ti
0.7482 0.3339 0.9160 Ti
0.7644 0.6656 0.5839 Ti
0.7614 0.0005 0.2500 Ti
0.0149 0.9298 0.8340 O
0.0289 0.0756 0.6688 O
0.0270 0.2553 0.4961 O
0.0273 0.4115 0.3373 O
0.0263 0.5891 0.1631 O
0.0293 0.7427 0.0030 O
0.2394 0.1504 0.8335 O
0.2619 0.4831 0.5001 O
0.2607 0.8168 0.1662 O
0.2653 0.5168 0.0006 O
0.2577 0.8494 0.6664 O
0.2612 0.1836 0.3333 O
0.2647 0.6581 0.8433 O
0.2628 0.3410 0.6572 O
0.2365 0.0086 0.9903 O
0.2631 0.9918 0.5096 O
0.2622 0.3258 0.1764 O
0.2622 0.6747 0.3234 O
0.4698 0.9258 0.8312 O
0.5156 0.9093 0.3238 O
0.5168 0.4218 0.8427 O
0.4830 0.5985 0.1684 O
0.5154 0.0906 0.1751 O
0.5148 0.7570 0.5092 O
0.5304 0.2499 0.9931 O
0.5181 0.5755 0.6576 O
0.4834 0.4017 0.3315 O
0.4838 0.0691 0.6666 O
0.4831 0.2646 0.5021 O
0.4860 0.7368 0.9979 O
0.7637 0.0104 0.9911 O
0.7380 0.3433 0.6582 O
0.7377 0.6566 0.8417 O
0.7365 0.6772 0.3248 O
0.7379 0.3231 0.1754 O
0.7345 0.9893 0.5088 O
0.7384 0.8393 0.1776 O
0.7608 0.1719 0.8442 O
0.7388 0.5056 0.5112 O
0.7367 0.8268 0.6556 O
0.7365 0.1610 0.3224 O
0.7426 0.4952 0.9890 O
0.9853 0.2449 0.9915 O
0.9716 0.4160 0.8391 O
0.9745 0.5861 0.6616 O
0.9715 0.7471 0.5048 O
0.9718 0.9200 0.3285 O
0.9715 0.0815 0.1726 O
```

Values from the calculation:
E above lowest polymorph	0.003	eV/atom
V	902.9	Å³/cell
total magnetic moment	0.00	μB per atom
calculated density	3.5	g/cm3
formation energy without anion corrections	-22.26	eV per formula unit

=====

# 7
A crystal of SiP relaxed with PBEsol, computed with SCAN.

```
SiP
1.0
-3.3018 -0.0791 -0.5742
-1.5969 -4.5087 0.0181
-2.7853 -1.1222 6.3853
P Si
3 3
direct
0.3645 0.9989 0.2721 P
0.6448 0.9466 0.7638 P
0.5680 0.5142 0.3498 P
0.8192 0.2826 0.0790 Si
0.1104 0.2304 0.5489 Si
0.3265 0.5272 0.8198 Si
```

Values from the calculation:
V	100.4	Å³/cell
total magnetic moment	0.00	μB per atom
calculated density	2.9	g/cm3
formation energy without anion corrections	0.56	eV per formula unit

=====

# 8
A crystal of LiY2Mg relaxed with PBEsol, computed with SCAN.

```
LiY2Mg
1.0
3.5881 0.0000 0.0000
0.0000 5.3456 -0.1184
-1.7941 -2.5421 5.3724
Y Mg Li
2 1 1
direct
0.9893 0.9892 0.9786 Y
0.7697 0.2698 0.5394 Y
0.2201 0.7205 0.4402 Mg
0.5209 0.5205 0.0418 Li
```

Values from the calculation:
formation enthalpy at 0 K	0.024	eV per atom
V	102.0	Å³/cell
total magnetic moment	0.03	μB per atom
calculated density	3.4	g/cm3

=====

# 9
A crystal of ZrMn2Os relaxed with PBEsol, computed with SCAN.

```
ZrMn2Os
1.0
3.8107 0.0000 0.0000
0.0000 3.8107 0.0000
0.0000 0.0000 4.0102
Mn Os Zr
2 1 1
direct
0.0000 0.5000 0.0000 Mn
0.5000 0.0000 0.0000 Mn
0.5000 0.5000 0.5000 Os
0.0000 0.0000 0.5000 Zr
```

Values from the calculation:
E above lowest polymorph	0.000	eV/atom
formation enthalpy at 0 K	-0.169	eV per atom
V	58.2	Å³/cell
total magnetic moment	1.82	μB per atom
calculated density	11.2	g/cm3

=====

# 10
A crystal of ScAl2Rh relaxed with PBEsol, computed with SCAN.

```
ScAl2Rh
1.0
-0.6508 2.7193 1.1081
-0.4316 -1.7168 3.9596
4.8285 0.3345 0.6714
Sc Rh Al
1 1 2
direct
0.3209 0.5000 0.7863 Sc
0.4629 0.0000 0.4435 Rh
0.8557 0.0000 0.9857 Al
0.8605 0.5000 0.2845 Al
```

Values from the calculation:
formation enthalpy at 0 K	-0.671	eV per atom
V	63.4	Å³/cell
total magnetic moment	0.00	μB per atom
calculated density	5.3	g/cm3

=====

# 11
A crystal of BAuCl3 relaxed with PBEsol, computed with SCAN.

```
BAuCl3
1.0
-2.0416 -0.2306 -4.4693
0.0131 -4.9127 0.2475
-4.4752 0.0908 2.0396
B Au Cl
1 1 3
direct
0.5000 0.5000 0.5000 B
0.0000 0.0000 0.0000 Au
0.0000 0.5000 0.0000 Cl
0.0000 0.0000 0.5000 Cl
0.5000 0.0000 0.0000 Cl
```

Values from the calculation:
E above lowest polymorph	0.267	eV/atom
V	119.0	Å³/cell
total magnetic moment	0.00	μB per atom
calculated density	4.4	g/cm3
formation energy without anion corrections	3.62	eV per formula unit

=====

# 12
A crystal of CrFe2Tc relaxed with PBEsol, computed with SCAN.

```
CrFe2Tc
1.0
3.5606 0.0000 0.0000
0.0000 3.5606 0.0000
-1.7803 -1.7803 3.5578
Cr Tc Fe
1 1 2
direct
0.0000 0.0000 0.0000 Cr
0.5000 0.5000 0.0000 Tc
0.7500 0.2500 0.5000 Fe
0.2500 0.7500 0.5000 Fe
```

Values from the calculation:
formation enthalpy at 0 K	0.167	eV per atom
V	45.1	Å³/cell
total magnetic moment	0.45	μB per atom
calculated density	9.6	g/cm3

=====

# 13
A crystal of CsCdP2S relaxed with PBEsol, computed with SCAN.

```
CsCdP2S
1.0
-1.6780 -4.6839 0.8349
4.5744 -1.8317 -1.0821
1.3574 0.4122 5.0408
Cs P S Cd
1 2 1 1
direct
0.5000 0.5000 0.5000 Cs
0.0000 0.5000 0.0000 P
0.5000 0.0000 0.0000 P
0.0000 0.0000 0.5000 S
0.0000 0.0000 0.0000 Cd
```

Values from the calculation:
V	133.3	Å³/cell
total magnetic moment	0.41	μB per atom
calculated density	4.2	g/cm3
formation energy without anion corrections	2.18	eV per formula unit

=====

# 14
A crystal of CrCuOs2 relaxed with PBEsol, computed with SCAN.

```
CrCuOs2
1.0
2.6718 0.0000 0.0000
0.0000 4.4303 -0.0097
-1.3359 -0.8092 4.3489
Cr Cu Os
1 1 2
direct
0.5039 0.5015 0.0078 Cr
0.7506 0.2556 0.5012 Cu
0.9960 0.9909 0.9920 Os
0.2495 0.7520 0.4990 Os
```

Values from the calculation:
E above lowest polymorph	0.018	eV/atom
formation enthalpy at 0 K	0.234	eV per atom
V	51.5	Å³/cell
total magnetic moment	0.48	μB per atom
calculated density	16.0	g/cm3

=====

# 15
A crystal of CsTmZnTe3 relaxed with PBEsol, computed with SCAN.

```
CsTmZnTe3
1.0
4.3074 0.0000 0.0000
-2.1537 8.3899 0.0000
0.0000 0.0000 11.3959
Cs Zn Tm Te
2 2 2 6
direct
0.7476 0.4952 0.2500 Cs
0.2524 0.5048 0.7500 Cs
0.4627 0.9254 0.2500 Zn
0.5373 0.0746 0.7500 Zn
0.0000 0.0000 0.0000 Tm
0.0000 0.0000 0.5000 Tm
0.3791 0.7583 0.0551 Te
0.6209 0.2417 0.9449 Te
0.6209 0.2417 0.5551 Te
0.3791 0.7583 0.4449 Te
0.0609 0.1218 0.2500 Te
0.9391 0.8782 0.7500 Te
```

Values from the calculation:
V	411.8	Å³/cell
total magnetic moment	0.00	μB per atom
calculated density	6.0	g/cm3
formation energy without anion corrections	-7.21	eV per formula unit

=====

# 16
A crystal of RbAlMo2O8 relaxed with PBEsol, computed with SCAN.

```
RbAlMo2O8
1.0
-2.7879 3.9918 2.6857
-1.9624 -2.0167 -4.7960
-3.8153 -5.1805 3.7394
O Mo Al Rb
8 2 1 1
direct
0.3333 0.6667 0.9544 O
0.6667 0.3333 0.0456 O
0.1582 0.3163 0.6496 O
0.6837 0.8418 0.6496 O
0.1582 0.8418 0.6496 O
0.8418 0.6837 0.3504 O
0.8418 0.1582 0.3504 O
0.3163 0.1582 0.3504 O
0.3333 0.6667 0.7233 Mo
0.6667 0.3333 0.2767 Mo
0.0000 0.0000 0.5000 Al
0.0000 0.0000 0.0000 Rb
```

Values from the calculation:
V	199.3	Å³/cell
total magnetic moment	0.00	μB per atom
calculated density	3.6	g/cm3
formation energy without anion corrections	-29.58	eV per formula unit

=====

# 17
A crystal of Y2AlPt relaxed with PBEsol, computed with SCAN.

```
Y2AlPt
1.0
4.1864 0.0000 0.0000
0.0000 4.1864 0.0000
-2.0932 -2.0932 4.7914
Y Al Pt
2 1 1
direct
0.0000 0.0000 0.0000 Y
0.7500 0.2500 0.5000 Y
0.5000 0.5000 0.0000 Al
0.2500 0.7500 0.5000 Pt
```

Values from the calculation:
formation enthalpy at 0 K	-0.726	eV per atom
V	84.0	Å³/cell
total magnetic moment	0.00	μB per atom
calculated density	7.9	g/cm3

=====

# 18
A crystal of ScCd2Cl relaxed with PBEsol, computed with SCAN.

```
ScCd2Cl
1.0
3.2247 0.0000 0.0000
0.0000 5.3782 0.0000
-1.6123 -2.6891 5.1110
Sc Cl Cd
1 1 2
direct
0.2258 0.7258 0.4516 Sc
0.5410 0.5410 0.0821 Cl
0.9782 0.9782 0.9565 Cd
0.7549 0.2549 0.5099 Cd
```

Values from the calculation:
E above lowest polymorph	0.000	eV/atom
V	88.6	Å³/cell
total magnetic moment	0.00	μB per atom
calculated density	5.7	g/cm3
formation energy without anion corrections	-2.36	eV per formula unit

=====

# 19
A crystal of Be3Os relaxed with PBEsol, computed with SCAN.

```
Be3Os
1.0
-0.4853 -3.5608 1.1774
2.8347 -1.8297 1.7082
-0.1962 -0.7580 3.6998
Be Os
3 1
direct
0.2500 0.2500 0.2500 Be
0.5000 0.5000 0.5000 Be
0.7500 0.7500 0.7500 Be
0.0000 0.0000 0.0000 Os
```

Values from the calculation:
formation enthalpy at 0 K	-0.219	eV per atom
V	38.2	Å³/cell
total magnetic moment	0.00	μB per atom
calculated density	9.4	g/cm3

=====

# 20
A crystal of Be2CdHgSb relaxed with PBEsol, computed with SCAN.

```
Be2CdHgSb
1.0
-1.8002 3.4307 -2.4005
-2.9622 0.8032 3.3693
3.7849 3.6977 2.4461
Sb Be Hg Cd
1 2 1 1
direct
0.0000 0.0000 0.0000 Sb
0.0000 0.5000 0.0000 Be
0.5000 0.0000 0.0000 Be
0.0000 0.0000 0.5000 Hg
0.5000 0.5000 0.5000 Cd
```

Values from the calculation:
V	121.1	Å³/cell
total magnetic moment	0.00	μB per atom
calculated density	6.2	g/cm3
formation energy without anion corrections	4.55	eV per formula unit

=====

# 21
A crystal of LaMo2Br relaxed with PBEsol, computed with SCAN.

```
LaMo2Br
1.0
3.2358 0.0000 0.0000
0.0000 3.2946 0.0000
0.0000 -1.6473 7.8787
Mo Br La
2 1 1
direct
0.0000 0.9167 0.8333 Mo
0.5000 0.3370 0.6740 Mo
0.0000 0.1940 0.3880 Br
0.5000 0.5525 0.1050 La
```

Values from the calculation:
E above lowest polymorph	0.000	eV/atom
V	84.0	Å³/cell
total magnetic moment	0.00	μB per atom
calculated density	8.1	g/cm3
formation energy without anion corrections	-0.24	eV per formula unit

=====

# 22
A crystal of BaAs2Ru relaxed with PBEsol, computed with SCAN.

```
BaAs2Ru
1.0
-1.2163 -1.6824 2.6987
2.9755 -1.6219 0.3300
2.4120 5.3213 4.4046
Ru As Ba
1 2 1
direct
0.5000 0.5000 0.8488 Ru
0.0000 0.0000 0.9636 As
0.5000 0.5000 0.1892 As
0.0000 0.0000 0.4983 Ba
```

Values from the calculation:
formation enthalpy at 0 K	-0.073	eV per atom
V	84.8	Å³/cell
total magnetic moment	0.13	μB per atom
calculated density	7.6	g/cm3

=====

# 23
A crystal of YTaNiAg2 relaxed with PBEsol, computed with SCAN.

```
YTaNiAg2
1.0
-2.1258 0.3336 4.4912
2.5060 -4.0388 1.4862
3.9066 3.0218 1.6246
Y Ni Ag Ta
1 1 2 1
direct
0.0000 0.0000 0.5000 Y
0.5000 0.5000 0.5000 Ni
0.0000 0.5000 0.0000 Ag
0.5000 0.0000 0.0000 Ag
0.0000 0.0000 0.0000 Ta
```

Values from the calculation:
formation enthalpy at 0 K	1.647	eV per atom
V	128.9	Å³/cell
total magnetic moment	0.26	μB per atom
calculated density	7.0	g/cm3

=====

# 24
A crystal of Ag2GeRhAu relaxed with PBEsol, computed with SCAN.

```
Ag2GeRhAu
1.0
-2.7843 -3.3322 -1.0540
0.6584 -1.9748 4.5039
-3.8245 2.6511 1.7214
Rh Ge Au Ag
1 1 1 2
direct
0.0000 0.0000 0.0000 Rh
0.5000 0.0000 0.0000 Ge
0.5000 0.5000 0.5000 Au
0.0000 0.0000 0.5000 Ag
0.0000 0.5000 0.0000 Ag
```

Values from the calculation:
formation enthalpy at 0 K	0.709	eV per atom
V	110.0	Å³/cell
total magnetic moment	0.00	μB per atom
calculated density	8.9	g/cm3